No. 1
Density functional theory data (SCAN) for a crystal of CuNi2 relaxed with PBEsol.

Lattice parameters (Å, degrees): 3.490 10.435 3.497 90.00 90.00 90.00
Space group Cmcm (No. 63)
Symmetry-distinct sites (fractional):
Cu 0.000 0.084 0.250
Ni 0.000 0.250 0.750
Ni 0.000 0.415 0.250

Calculated values
The energy is -15.786 eV per atom.


No. 2
Density functional theory data (SCAN) for a crystal of Nd2GeO5 relaxed with PBEsol.

Lattice parameters (Å, degrees): 9.449 7.224 6.962 90.00 106.27 90.00
Space group P2_1/c (No. 14)
Symmetry-distinct sites (fractional):
Nd 0.025 0.127 0.233
Nd 0.373 0.136 0.060
Ge 0.301 0.590 0.030
O 0.109 0.631 0.992
O 0.113 0.117 0.942
O 0.288 0.085 0.341
O 0.390 0.708 0.502
O 0.392 0.053 0.731

Calculated values
Its formation energy from raw total energies is -3106 meV/atom.


No. 3
Density functional theory data (SCAN) for a crystal of AlH20RuCl6O10 relaxed with PBEsol.

Lattice parameters (Å, degrees): 6.813 11.657 12.109 90.00 121.78 90.00
Space group P2_1/c (No. 14)
Symmetry-distinct sites (fractional):
Al 0.000 0.000 0.000
H 0.031 0.036 0.801
H 0.043 0.173 0.386
H 0.146 0.618 0.088
H 0.172 0.696 0.606
H 0.237 0.556 0.396
H 0.244 0.135 0.189
H 0.289 0.667 0.287
H 0.357 0.593 0.689
H 0.362 0.128 0.102
H 0.407 0.717 0.432
Ru 0.500 0.000 0.500
Cl 0.160 0.606 0.875
Cl 0.335 0.169 0.378
Cl 0.365 0.054 0.635
O 0.120 0.681 0.133
O 0.121 0.003 0.891
O 0.213 0.116 0.101
O 0.220 0.614 0.601
O 0.396 0.647 0.383

Calculated values
The energy is -6.998 eV per atom.


No. 4
Density functional theory data (SCAN) for a crystal of LiZn5 relaxed with PBEsol.

Lattice parameters (Å, degrees): 9.768 2.730 6.366 90.00 103.59 90.00
Space group Cm (No. 8)
Symmetry-distinct sites (fractional):
Li 0.000 0.000 0.000
Zn 0.052 0.000 0.618
Zn 0.163 0.500 0.332
Zn 0.224 0.500 0.945
Zn 0.330 0.000 0.663
Zn 0.387 0.000 0.272

Calculated values
Its offset from the most stable computed form is 31 meV/atom.


| no. | V (Å³ per atom) | density (g/cm3) |
| --- | --- | --- |
| 1 | 10.6 | 9.44 |
| 2 | 14.3 | 6.42 |
| 3 | 10.8 | 2.12 |
| 4 | 13.7 | 6.72 |